Record 1
This record from Alexandria describes an optimized crystal structure of LaGa2ReTc. The functional is PBE.

Calculated values
ΔH_f (0 K)	0.213	eV/atom

Cell lengths 4.821, 4.833, 4.821 Å; angles 90.00, 90.00, 90.00 degrees
Site moments in Bohr magnetons follow the coordinates.
Positions (direct):
Re (0.000, 0.000, 0.000)  0.00
Tc (0.000, 0.500, 0.000)  0.12
Ga (0.000, 0.000, 0.500)  0.00
Ga (0.500, 0.000, 0.000)  0.00
La (0.500, 0.500, 0.500)  0.00

***

Record 2
This record from Alexandria describes an optimized crystal structure of NaGdHg. The functional is PBE.

Calculated values
energy relative to the lowest polymorph listed for this composition	0	meV per atom
ΔH_f (0 K)	-0.138	eV/atom

Cell lengths 3.693, 3.693, 7.084 Å; angles 105.11, 105.11, 90.00 degrees
Site moments in Bohr magnetons follow the coordinates.
Positions (direct):
Na (0.594, 0.594, 0.189)  0.00
Gd (0.313, 0.313, 0.625)  7.16
Hg (0.943, 0.943, 0.886)  -0.01

***

Record 3
This record from Alexandria describes an optimized crystal structure of MgMn3Al. The functional is PBE.

Calculated values
energy relative to the lowest polymorph listed for this composition	485	meV per atom
ΔH_f (0 K)	1.286	eV/atom

Cell lengths 4.577, 4.577, 4.577 Å; angles 90.00, 90.00, 90.00 degrees
Site moments in Bohr magnetons follow the coordinates.
Positions (direct):
Mg (0.000, 0.000, 0.000)  -0.06
Mn (0.000, 0.500, 0.000)  3.42
Mn (0.000, 0.000, 0.500)  3.48
Mn (0.500, 0.000, 0.000)  3.40
Al (0.500, 0.500, 0.500)  -0.10

***

Record 4
This record from Alexandria describes an optimized crystal structure of RuF. The functional is PBE.

Calculated values
energy relative to the lowest polymorph listed for this composition	0	meV per atom
uncorrected formation energy	-1.4	eV per formula unit

Cell lengths 2.703, 6.449, 8.839 Å; angles 90.00, 90.00, 90.00 degrees
Positions (direct):
Ru (0.000, 0.660, 0.814)
Ru (0.500, 0.340, 0.686)
Ru (0.500, 0.340, 0.314)
Ru (0.000, 0.660, 0.186)
Ru (0.000, 0.127, 0.500)
Ru (0.500, 0.873, 0.000)
F (0.000, 0.863, 0.647)
F (0.500, 0.137, 0.853)
F (0.500, 0.137, 0.147)
F (0.000, 0.863, 0.353)
F (0.000, 0.467, 0.000)
F (0.500, 0.533, 0.500)

***

Record 5
This record from Alexandria describes an optimized crystal structure of CrBS2Cl. The functional is PBE.

Calculated values
energy relative to the lowest polymorph listed for this composition	1082	meV per atom
uncorrected formation energy	9.2	eV per formula unit

Cell lengths 4.703, 3.609, 4.703 Å; angles 90.00, 90.00, 90.00 degrees
Positions (direct):
Cr (0.500, 0.500, 0.500)
S (0.000, 0.000, 0.500)
S (0.500, 0.000, 0.000)
B (0.000, 0.500, 0.000)
Cl (0.000, 0.000, 0.000)

***

Record 6
This record from Alexandria describes an optimized crystal structure of CsCd2Fe. The functional is PBE.

Calculated values
ΔH_f (0 K)	0.800	eV/atom

Cell lengths 5.593, 5.593, 5.593 Å; angles 60.00, 60.00, 60.00 degrees
Site moments in Bohr magnetons follow the coordinates.
Positions (direct):
Cs (0.500, 0.500, 0.500)  -0.01
Fe (0.000, 0.000, 0.000)  3.11
Cd (0.250, 0.250, 0.250)  -0.01
Cd (0.750, 0.750, 0.750)  -0.01

***

Record 7
This record from Alexandria describes an optimized crystal structure of CaMn2I6. The functional is PBE.

Calculated values
energy relative to the lowest polymorph listed for this composition	22	meV per atom
uncorrected formation energy	-6.9	eV per formula unit

Cell lengths 8.409, 8.409, 12.520 Å; angles 68.16, 68.16, 30.80 degrees
Site moments in Bohr magnetons follow the coordinates.
Positions (direct):
Ca (0.000, 0.000, 0.000)  0.02
Mn (0.206, 0.206, 0.274)  4.30
Mn (0.794, 0.794, 0.726)  4.30
I (0.659, 0.659, 0.410)  0.07
I (0.341, 0.341, 0.590)  0.07
I (0.861, 0.861, 0.888)  0.06
I (0.392, 0.392, 0.181)  0.03
I (0.139, 0.139, 0.112)  0.06
I (0.608, 0.608, 0.819)  0.03

***

Record 8
This record from Alexandria describes an optimized crystal structure of NaAl2IO. The functional is PBE.

Calculated values
uncorrected formation energy	5.2	eV per formula unit

Cell lengths 5.635, 5.292, 5.635 Å; angles 90.00, 90.00, 90.00 degrees
Positions (direct):
I (0.000, 0.500, 0.000)
Na (0.000, 0.000, 0.000)
Al (0.000, 0.000, 0.500)
Al (0.500, 0.000, 0.000)
O (0.500, 0.500, 0.500)

***

Record 9
This record from Alexandria describes an optimized crystal structure of PaPt2. The functional is PBE.

Calculated values
ΔH_f (0 K)	-0.975	eV/atom

Cell lengths 6.218, 5.122, 5.122 Å; angles 120.00, 114.25, 90.00 degrees
Positions (direct):
Pa (0.750, 0.250, 0.000)
Pa (0.250, 0.750, 0.000)
Pt (0.748, 0.916, 0.332)
Pt (0.248, 0.416, 0.332)
Pt (0.752, 0.584, 0.668)
Pt (0.252, 0.084, 0.668)

***

Record 10
This record from Alexandria describes an optimized crystal structure of MgAlPb2. The functional is PBE.

Calculated values
energy relative to the lowest polymorph listed for this composition	121	meV per atom
ΔH_f (0 K)	0.202	eV/atom

Cell lengths 8.262, 8.262, 6.655 Å; angles 51.63, 51.63, 90.00 degrees
Positions (direct):
Pb (0.652, 0.125, 0.250)
Pb (0.098, 0.625, 0.250)
Pb (0.375, 0.348, 0.750)
Pb (0.875, 0.902, 0.750)
Mg (0.500, 0.500, 0.000)
Mg (0.250, 0.750, 0.500)
Al (0.000, 0.000, 0.000)
Al (0.750, 0.250, 0.500)

***

Record 11
This record from Alexandria describes an optimized crystal structure of Ba4AsBr. The functional is PBE.

Calculated values
uncorrected formation energy	-0.4	eV per formula unit

Cell lengths 7.110, 7.110, 7.110 Å; angles 60.00, 60.00, 60.00 degrees
Site moments in Bohr magnetons follow the coordinates.
Positions (direct):
Ba (0.878, 0.374, 0.374)  0.15
Ba (0.374, 0.374, 0.878)  0.15
Ba (0.374, 0.878, 0.374)  0.15
Ba (0.374, 0.374, 0.374)  0.15
As (0.000, 0.000, 0.000)  -0.02
Br (0.750, 0.750, 0.750)  0.00

***

Record 12
This record from Alexandria describes an optimized crystal structure of InAg2BO4. The functional is PBE.

Calculated values
uncorrected formation energy	-9.2	eV per formula unit

Cell lengths 4.993, 4.992, 5.445 Å; angles 117.28, 117.28, 90.00 degrees
Positions (direct):
In (0.986, 0.486, 0.972)
Ag (0.486, 0.986, 0.972)
Ag (0.236, 0.236, 0.472)
B (0.736, 0.736, 0.472)
O (0.687, 0.641, 0.675)
O (0.831, 0.484, 0.269)
O (0.437, 0.784, 0.268)
O (0.988, 0.035, 0.675)

***

Please write out number 7 again, unchanged.
This record from Alexandria describes an optimized crystal structure of CaMn2I6. The functional is PBE.

Calculated values
energy relative to the lowest polymorph listed for this composition	22	meV per atom
uncorrected formation energy	-6.9	eV per formula unit

Cell lengths 8.409, 8.409, 12.520 Å; angles 68.16, 68.16, 30.80 degrees
Site moments in Bohr magnetons follow the coordinates.
Positions (direct):
Ca (0.000, 0.000, 0.000)  0.02
Mn (0.206, 0.206, 0.274)  4.30
Mn (0.794, 0.794, 0.726)  4.30
I (0.659, 0.659, 0.410)  0.07
I (0.341, 0.341, 0.590)  0.07
I (0.861, 0.861, 0.888)  0.06
I (0.392, 0.392, 0.181)  0.03
I (0.139, 0.139, 0.112)  0.06
I (0.608, 0.608, 0.819)  0.03